[1]
A PBEsol-optimized structure of Ce2Si3Ni, computed with meta-GGA SCAN.

Uncorrected energy, eV/f.u.: -139.6
ΔE_f (raw), eV per atom: -0.71
DOS(E_F), states/eV per atom: 0.844
Space-group type: P-6m2

Cell lengths 4.031, 4.031, 7.860 Å; angles 90.00, 90.00, 120.00 degrees
Atoms (fractional coordinates):
Ce: 0.000 0.000 0.241
Ce: 0.000 0.000 0.759
Si: 0.333 0.667 0.000
Si: 0.333 0.667 0.500
Si: 0.667 0.333 0.500
Ni: 0.667 0.333 0.000


[2]
A PBEsol-optimized structure of Ce2Si9Ni17, computed with meta-GGA SCAN.

Uncorrected energy, eV/f.u.: -471.5
ΔE_f (raw), eV per atom: -0.62
DOS(E_F), states/eV per atom: 0.648
Space-group type: Fmmm

Cell lengths 7.925, 7.793, 7.741 Å; angles 61.35, 59.65, 59.01 degrees
Atoms (fractional coordinates):
Ce: 0.250 0.250 0.250
Ce: 0.750 0.750 0.750
Si: 0.000 0.000 0.000
Si: 0.059 0.696 0.304
Si: 0.208 0.558 0.792
Si: 0.304 0.941 0.059
Si: 0.442 0.792 0.558
Si: 0.558 0.208 0.442
Si: 0.696 0.059 0.941
Si: 0.792 0.442 0.208
Si: 0.941 0.304 0.696
Ni: 0.058 0.310 0.942
Ni: 0.059 0.941 0.713
Ni: 0.191 0.441 0.559
Ni: 0.204 0.796 0.436
Ni: 0.287 0.713 0.941
Ni: 0.310 0.058 0.690
Ni: 0.436 0.564 0.204
Ni: 0.441 0.191 0.809
Ni: 0.500 0.500 0.500
Ni: 0.559 0.809 0.191
Ni: 0.564 0.436 0.796
Ni: 0.690 0.942 0.310
Ni: 0.713 0.287 0.059
Ni: 0.796 0.204 0.564
Ni: 0.809 0.559 0.441
Ni: 0.941 0.059 0.287
Ni: 0.942 0.690 0.058


[3]
A PBEsol-optimized structure of Ce2Si5Ni17, computed with meta-GGA SCAN.

Uncorrected energy, eV/f.u.: -425.3
ΔE_f (raw), eV per atom: -0.46
DOS(E_F), states/eV per atom: 0.643
Space-group type: I-4m2

Cell lengths 7.500, 7.500, 7.500 Å; angles 99.65, 99.65, 131.65 degrees
Atoms (fractional coordinates):
Ce: 0.000 0.000 0.000
Ce: 0.750 0.250 0.500
Si: 0.363 0.627 0.735
Si: 0.373 0.108 0.735
Si: 0.373 0.637 0.265
Si: 0.500 0.500 0.000
Si: 0.892 0.627 0.265
Ni: 0.119 0.193 0.680
Ni: 0.119 0.439 0.927
Ni: 0.180 0.351 0.419
Ni: 0.180 0.761 0.829
Ni: 0.239 0.068 0.419
Ni: 0.239 0.820 0.171
Ni: 0.250 0.750 0.500
Ni: 0.512 0.193 0.073
Ni: 0.512 0.439 0.320
Ni: 0.561 0.488 0.680
Ni: 0.561 0.881 0.073
Ni: 0.649 0.068 0.829
Ni: 0.649 0.820 0.581
Ni: 0.807 0.488 0.927
Ni: 0.807 0.881 0.320
Ni: 0.932 0.351 0.171
Ni: 0.932 0.761 0.581


[4]
A PBEsol-optimized structure of Ce3Si8Ni2, computed with meta-GGA SCAN.

Uncorrected energy, eV/f.u.: -254.0
ΔE_f (raw), eV per atom: -0.60
DOS(E_F), states/eV per atom: 0.859
Space-group type: Cmmm

Cell lengths 13.063, 13.063, 4.127 Å; angles 90.00, 90.00, 162.15 degrees
Atoms (fractional coordinates):
Ce: 0.000 0.000 0.000
Ce: 0.312 0.688 0.500
Ce: 0.688 0.312 0.500
Si: 0.098 0.902 0.500
Si: 0.225 0.775 0.000
Si: 0.404 0.596 0.000
Si: 0.455 0.545 0.500
Si: 0.545 0.455 0.500
Si: 0.596 0.404 0.000
Si: 0.775 0.225 0.000
Si: 0.902 0.098 0.500
Ni: 0.135 0.865 0.000
Ni: 0.865 0.135 0.000


[5]
A PBEsol-optimized structure of CeSiNi, computed with meta-GGA SCAN.

Uncorrected energy, eV/f.u.: -72.9
ΔE_f (raw), eV per atom: -0.70
DOS(E_F), states/eV per atom: 0.880
Space-group type: P-6m2

Cell lengths 4.064, 4.064, 3.751 Å; angles 90.00, 90.00, 120.00 degrees
Atoms (fractional coordinates):
Ce: 0.000 0.000 0.000
Si: 0.333 0.667 0.500
Ni: 0.667 0.333 0.500


[6]
A PBEsol-optimized structure of Ce2NiSn4, computed with meta-GGA SCAN.

Uncorrected energy, eV/f.u.: -253.5
Formation energy, meV per atom: -639
DOS(E_F), states/eV per atom: 1.400
Space-group type: Amm2

Cell lengths 4.425, 8.743, 8.743 Å; angles 29.48, 90.00, 90.00 degrees
Atoms (fractional coordinates):
Ce: 0.000 0.000 0.000
Ce: 0.500 0.207 0.207
Ni: 0.000 0.794 0.794
Sn: 0.000 0.363 0.363
Sn: 0.000 0.649 0.649
Sn: 0.500 0.536 0.536
Sn: 0.500 0.864 0.864


[7]
A PBEsol-optimized structure of CeNi4Sn2, computed with meta-GGA SCAN.

Uncorrected energy, eV/f.u.: -183.8
Formation energy, meV per atom: -381
DOS(E_F), states/eV per atom: 0.941
Space-group type: I4/mcm

Cell lengths 6.614, 6.614, 6.614 Å; angles 110.79, 110.79, 106.86 degrees
Atoms (fractional coordinates):
Ce: 0.250 0.250 0.000
Ce: 0.750 0.750 0.000
Ni: 0.026 0.526 0.220
Ni: 0.194 0.974 0.500
Ni: 0.306 0.806 0.780
Ni: 0.474 0.694 0.500
Ni: 0.526 0.306 0.500
Ni: 0.694 0.194 0.220
Ni: 0.806 0.026 0.500
Ni: 0.974 0.474 0.780
Sn: 0.159 0.341 0.500
Sn: 0.341 0.841 0.182
Sn: 0.659 0.159 0.818
Sn: 0.841 0.659 0.500


[8]
A PBEsol-optimized structure of CeNiSn, computed with meta-GGA SCAN.

Uncorrected energy, eV/f.u.: -98.4
Formation energy, meV per atom: -580
DOS(E_F), states/eV per atom: 1.271
Space-group type: P6_3/mmc

Cell lengths 4.438, 4.438, 7.382 Å; angles 90.00, 90.00, 120.00 degrees
Atoms (fractional coordinates):
Ce: 0.000 0.000 0.000
Ce: 0.000 0.000 0.500
Ni: 0.333 0.667 0.250
Ni: 0.667 0.333 0.750
Sn: 0.333 0.667 0.750
Sn: 0.667 0.333 0.250


[9]
A PBEsol-optimized structure of CeNi5Sn, computed with meta-GGA SCAN.

Uncorrected energy, eV/f.u.: -163.7
Formation energy, meV per atom: -339
DOS(E_F), states/eV per atom: 0.915
Space-group type: P6_3/mmc

Cell lengths 4.811, 4.811, 19.395 Å; angles 90.00, 90.00, 120.00 degrees
Atoms (fractional coordinates):
Ce: 0.000 0.000 0.000
Ce: 0.000 0.000 0.500
Ce: 0.333 0.667 0.250
Ce: 0.667 0.333 0.750
Ni: 0.000 0.000 0.250
Ni: 0.000 0.000 0.750
Ni: 0.166 0.332 0.646
Ni: 0.166 0.332 0.854
Ni: 0.166 0.834 0.646
Ni: 0.166 0.834 0.854
Ni: 0.332 0.166 0.146
Ni: 0.332 0.166 0.354
Ni: 0.333 0.667 0.542
Ni: 0.333 0.667 0.750
Ni: 0.333 0.667 0.958
Ni: 0.667 0.333 0.042
Ni: 0.667 0.333 0.250
Ni: 0.667 0.333 0.458
Ni: 0.668 0.834 0.646
Ni: 0.668 0.834 0.854
Ni: 0.834 0.166 0.146
Ni: 0.834 0.166 0.354
Ni: 0.834 0.668 0.146
Ni: 0.834 0.668 0.354
Sn: 0.333 0.667 0.088
Sn: 0.333 0.667 0.412
Sn: 0.667 0.333 0.588
Sn: 0.667 0.333 0.912


[10]
A PBEsol-optimized structure of Ce2Ni2Sn, computed with meta-GGA SCAN.

Uncorrected energy, eV/f.u.: -159.9
Formation energy, meV per atom: -494
DOS(E_F), states/eV per atom: 1.303
Space-group type: Immm

Cell lengths 5.270, 5.270, 5.270 Å; angles 130.80, 113.73, 86.80 degrees
Atoms (fractional coordinates):
Ce: 0.197 0.197 0.000
Ce: 0.803 0.803 0.000
Ni: 0.215 0.500 0.715
Ni: 0.785 0.500 0.285
Sn: 0.500 0.000 0.500


[11]
A PBEsol-optimized structure of CeNiSn, computed with meta-GGA SCAN.

Uncorrected energy, eV/f.u.: -98.6
Formation energy, meV per atom: -639
DOS(E_F), states/eV per atom: 1.140
Space-group type: Pnma

Cell lengths 7.332, 4.521, 7.332 Å; angles 90.00, 90.00, 90.00 degrees
Atoms (fractional coordinates):
Ce: 0.024 0.250 0.191
Ce: 0.476 0.750 0.691
Ce: 0.524 0.250 0.309
Ce: 0.976 0.750 0.809
Ni: 0.196 0.750 0.423
Ni: 0.304 0.250 0.923
Ni: 0.696 0.750 0.077
Ni: 0.804 0.250 0.577
Sn: 0.179 0.250 0.594
Sn: 0.321 0.750 0.094
Sn: 0.679 0.250 0.906
Sn: 0.821 0.750 0.406


[12]
A PBEsol-optimized structure of CeNiSn, computed with meta-GGA SCAN.

Uncorrected energy, eV/f.u.: -98.4
Formation energy, meV per atom: -584
DOS(E_F), states/eV per atom: 0.880
Space-group type: C2/m

Cell lengths 6.029, 6.029, 4.960 Å; angles 93.67, 93.67, 41.98 degrees
Atoms (fractional coordinates):
Ce: 0.106 0.106 0.184
Ce: 0.894 0.894 0.816
Ni: 0.231 0.231 0.654
Ni: 0.769 0.769 0.346
Sn: 0.393 0.393 0.290
Sn: 0.607 0.607 0.710


[13]
A PBEsol-optimized structure of CeZn2Ni3, computed with meta-GGA SCAN.

Uncorrected energy, eV/f.u.: -122.0
Formation energy, meV per atom: -308
DOS(E_F), states/eV per atom: 0.955
Space-group type: P6/mmm

Cell lengths 5.090, 5.090, 3.839 Å; angles 90.00, 90.00, 120.00 degrees
Atoms (fractional coordinates):
Ce: 0.000 0.000 0.000
Zn: 0.333 0.667 0.000
Zn: 0.667 0.333 0.000
Ni: 0.000 0.500 0.500
Ni: 0.500 0.000 0.500
Ni: 0.500 0.500 0.500


[14]
A PBEsol-optimized structure of CeZnNi4, computed with meta-GGA SCAN.

Uncorrected energy, eV/f.u.: -124.6
Formation energy, meV per atom: -301
DOS(E_F), states/eV per atom: 0.894
Space-group type: P-6m2

Cell lengths 4.942, 4.942, 3.879 Å; angles 90.00, 90.00, 120.00 degrees
Atoms (fractional coordinates):
Ce: 0.000 0.000 0.000
Zn: 0.667 0.333 0.000
Ni: 0.005 0.502 0.500
Ni: 0.333 0.667 0.000
Ni: 0.498 0.502 0.500
Ni: 0.498 0.995 0.500


[15]
A PBEsol-optimized structure of CeO, computed with meta-GGA SCAN.

Uncorrected energy, eV/f.u.: -57.0
ΔE_f (raw), eV per atom: -3.08
DOS(E_F), states/eV per atom: 0.773
Space-group type: Fm-3m

Cell lengths 3.472, 3.472, 3.472 Å; angles 60.00, 60.00, 60.00 degrees
Atoms (fractional coordinates):
Ce: 0.000 0.000 0.000
O: 0.500 0.500 0.500


[16]
A PBEsol-optimized structure of CeP2O7, computed with meta-GGA SCAN.

Uncorrected energy, eV/f.u.: -137.5
ΔE_f (raw), eV per atom: -2.85
DOS(E_F), states/eV per atom: 0.000
Space-group type: Pa-3

Cell lengths 8.841, 8.841, 8.841 Å; angles 90.00, 90.00, 90.00 degrees
Atoms (fractional coordinates):
Ce: 0.000 0.000 0.000
Ce: 0.000 0.500 0.500
Ce: 0.500 0.000 0.500
Ce: 0.500 0.500 0.000
P: 0.103 0.603 0.897
P: 0.103 0.897 0.397
P: 0.397 0.103 0.897
P: 0.397 0.397 0.397
P: 0.603 0.603 0.603
P: 0.603 0.897 0.103
P: 0.897 0.103 0.603
P: 0.897 0.397 0.103
O: 0.000 0.000 0.500
O: 0.000 0.500 0.000
O: 0.057 0.734 0.428
O: 0.057 0.766 0.928
O: 0.072 0.557 0.734
O: 0.072 0.943 0.234
O: 0.234 0.072 0.943
O: 0.234 0.428 0.443
O: 0.266 0.572 0.943
O: 0.266 0.928 0.443
O: 0.428 0.057 0.734
O: 0.428 0.443 0.234
O: 0.443 0.234 0.428
O: 0.443 0.266 0.928
O: 0.500 0.000 0.000
O: 0.500 0.500 0.500
O: 0.557 0.734 0.072
O: 0.557 0.766 0.572
O: 0.572 0.557 0.766
O: 0.572 0.943 0.266
O: 0.734 0.072 0.557
O: 0.734 0.428 0.057
O: 0.766 0.572 0.557
O: 0.766 0.928 0.057
O: 0.928 0.057 0.766
O: 0.928 0.443 0.266
O: 0.943 0.234 0.072
O: 0.943 0.266 0.572


[17]
A PBEsol-optimized structure of CeP3O9, computed with meta-GGA SCAN.

Uncorrected energy, eV/f.u.: -167.8
ΔE_f (raw), eV per atom: -2.76
Space-group type: C222_1

Cell lengths 7.072, 7.072, 7.353 Å; angles 90.00, 90.00, 105.27 degrees
Atoms (fractional coordinates):
Ce: 0.124 0.124 0.000
Ce: 0.876 0.876 0.500
P: 0.252 0.252 0.500
P: 0.315 0.664 0.953
P: 0.336 0.685 0.547
P: 0.664 0.315 0.047
P: 0.685 0.336 0.453
P: 0.748 0.748 0.000
O: 0.134 0.174 0.668
O: 0.174 0.134 0.332
O: 0.175 0.785 0.540
O: 0.215 0.825 0.960
O: 0.218 0.471 0.037
O: 0.253 0.471 0.456
O: 0.376 0.624 0.750
O: 0.471 0.218 0.963
O: 0.471 0.253 0.544
O: 0.529 0.747 0.044
O: 0.529 0.782 0.463
O: 0.624 0.376 0.250
O: 0.747 0.529 0.956
O: 0.782 0.529 0.537
O: 0.785 0.175 0.460
O: 0.825 0.215 0.040
O: 0.826 0.866 0.832
O: 0.866 0.826 0.168


[18]
A PBEsol-optimized structure of CeTl2P5O15, computed with meta-GGA SCAN.

Uncorrected energy, eV/f.u.: -391.2
ΔE_f (raw), eV per atom: -2.45
Space-group type: Cc

Cell lengths 7.250, 7.250, 13.376 Å; angles 90.56, 90.56, 108.06 degrees
Atoms (fractional coordinates):
Ce: 0.092 0.908 0.500
Ce: 0.908 0.092 0.000
Tl: 0.303 0.707 0.006
Tl: 0.562 0.783 0.311
Tl: 0.707 0.303 0.506
Tl: 0.783 0.562 0.811
P: 0.184 0.973 0.778
P: 0.198 0.450 0.591
P: 0.233 0.388 0.808
P: 0.388 0.233 0.308
P: 0.450 0.198 0.091
P: 0.557 0.778 0.577
P: 0.604 0.999 0.763
P: 0.778 0.557 0.077
P: 0.973 0.184 0.278
P: 0.999 0.604 0.263
O: 0.062 0.333 0.877
O: 0.077 0.888 0.684
O: 0.082 0.926 0.876
O: 0.090 0.569 0.539
O: 0.160 0.243 0.559
O: 0.160 0.469 0.708
O: 0.187 0.654 0.210
O: 0.202 0.279 0.266
O: 0.243 0.160 0.059
O: 0.279 0.202 0.766
O: 0.333 0.062 0.377
O: 0.376 0.911 0.788
O: 0.417 0.529 0.847
O: 0.431 0.551 0.583
O: 0.431 0.895 0.542
O: 0.469 0.160 0.208
O: 0.529 0.417 0.347
O: 0.551 0.431 0.083
O: 0.569 0.090 0.039
O: 0.626 0.827 0.691
O: 0.654 0.187 0.710
O: 0.709 0.978 0.857
O: 0.735 0.783 0.519
O: 0.783 0.735 0.019
O: 0.827 0.626 0.191
O: 0.888 0.077 0.184
O: 0.895 0.431 0.042
O: 0.911 0.376 0.288
O: 0.926 0.082 0.376
O: 0.978 0.709 0.357